No. 1
# InIBr2 | Alexandria | PBE-GGA | relaxed
data_InIBr2
_chemical_formula_sum 'In2 I2 Br4'
_symmetry_space_group_name_H-M 'C 1 m 1'
_symmetry_Int_Tables_number 8
_cell_length_a 14.0369
_cell_length_b 3.9498
_cell_length_c 7.1094
_cell_angle_alpha 90.00
_cell_angle_beta 118.12
_cell_angle_gamma 90.00
loop_
_symmetry_equiv_pos_as_xyz
'x,y,z'
'x,-y,z'
'x+1/2,y+1/2,z'
'x+1/2,-y+1/2,z'
loop_
_atom_site_label
_atom_site_fract_x
_atom_site_fract_y
_atom_site_fract_z
In1 0.0000 0.0000 0.0000
I1 0.4583 0.0000 0.2527
Br1 0.1326 0.5000 0.9819
Br2 0.3430 0.5000 0.6320
# formation energy from raw total energies: -0.64 eV/atom
# distance to the lowest polymorph of the same formula: 62.1 meV/atom
# total magnetic moment: 0.000 μB/cell
# V: 347.7 Å³ per cell

***

No. 2
# In2I2Br | Alexandria | PBE-GGA | relaxed
data_In2I2Br
_chemical_formula_sum 'In4 I4 Br2'
_symmetry_space_group_name_H-M 'P 1'
_symmetry_Int_Tables_number 1
_cell_length_a 6.9225
_cell_length_b 8.1434
_cell_length_c 9.1476
_cell_angle_alpha 66.01
_cell_angle_beta 82.39
_cell_angle_gamma 70.10
loop_
_symmetry_equiv_pos_as_xyz
'x,y,z'
loop_
_atom_site_label
_atom_site_fract_x
_atom_site_fract_y
_atom_site_fract_z
In1 0.0000 0.0000 0.0000
In2 0.0540 0.0027 0.5214
In3 0.3031 0.3074 0.7498
In4 0.4933 0.7073 0.0534
I1 0.2066 0.6965 0.3957
I2 0.8069 0.3060 0.6408
I3 0.9204 0.2800 0.2117
I4 0.9529 0.7228 0.8064
Br1 0.4074 0.9964 0.5952
Br2 0.5889 0.0068 0.0959
# formation energy from raw total energies: -0.51 eV/atom
# distance to the lowest polymorph of the same formula: 30.3 meV/atom
# total magnetic moment: 0.000 μB/cell
# V: 443.0 Å³ per cell

***

No. 3
# In3I2Br3 | Alexandria | PBE-GGA | relaxed
data_In3I2Br3
_chemical_formula_sum 'In12 I8 Br12'
_symmetry_space_group_name_H-M 'C m c m'
_symmetry_Int_Tables_number 63
_symmetry_space_group_name_Hall '-C 2c 2'
_cell_length_a 4.2499
_cell_length_b 15.7146
_cell_length_c 17.4147
_cell_angle_alpha 90.00
_cell_angle_beta 90.00
_cell_angle_gamma 90.00
loop_
_atom_site_label
_atom_site_fract_x
_atom_site_fract_y
_atom_site_fract_z
In1 0.0000 0.0255 0.0823
In2 0.0000 0.1590 0.7500
I1 0.0000 0.3423 0.5955
Br1 0.0000 0.0341 0.2500
Br2 0.0000 0.3979 0.1193
# formation energy from raw total energies: -0.56 eV/atom
# total magnetic moment: 0.000 μB/cell
# V: 1163.0 Å³ per cell

***

No. 4
# InIBr2 | Alexandria | PBE-GGA | relaxed
data_InIBr2
_chemical_formula_sum 'In3 I3 Br6'
_symmetry_space_group_name_H-M 'R -3 m'
_symmetry_Int_Tables_number 166
_symmetry_space_group_name_Hall '-R 3 2"'
_cell_length_a 3.9344
_cell_length_b 3.9344
_cell_length_c 34.4435
_cell_angle_alpha 90.00
_cell_angle_beta 90.00
_cell_angle_gamma 120.00
loop_
_atom_site_label
_atom_site_fract_x
_atom_site_fract_y
_atom_site_fract_z
In1 0.0000 0.0000 0.0000
I1 0.0000 0.0000 0.5000
Br1 0.0000 0.0000 0.3854
# formation energy from raw total energies: -0.28 eV/atom
# distance to the lowest polymorph of the same formula: 425.4 meV/atom
# total magnetic moment: 0.000 μB/cell
# V: 461.7 Å³ per cell

***

No. 5
# In15I12Br5 | Alexandria | PBE-GGA | relaxed
data_In15I12Br5
_chemical_formula_sum 'In15 I12 Br5'
_symmetry_space_group_name_H-M 'P -6 2 m'
_symmetry_Int_Tables_number 189
_symmetry_space_group_name_Hall 'P -6 -2'
_cell_length_a 16.4007
_cell_length_b 16.4007
_cell_length_c 6.2788
_cell_angle_alpha 90.00
_cell_angle_beta 90.00
_cell_angle_gamma 120.00
loop_
_atom_site_label
_atom_site_fract_x
_atom_site_fract_y
_atom_site_fract_z
In1 0.0000 0.2008 0.0000
In2 0.0000 0.4681 0.0000
In3 0.0000 0.6759 0.0000
In4 0.1552 0.4793 0.5000
I1 0.0000 0.2159 0.5000
I2 0.0000 0.5730 0.5000
I3 0.1896 0.4314 0.0000
Br1 0.0000 0.8530 0.0000
Br2 0.3333 0.6667 0.5000
# formation energy from raw total energies: -0.44 eV/atom
# total magnetic moment: 0.000 μB/cell
# V: 1462.6 Å³ per cell

***

No. 6
# InIBr2 | Alexandria | PBE-GGA | relaxed
data_InIBr2
_chemical_formula_sum 'In2 I2 Br4'
_symmetry_space_group_name_H-M 'P -1'
_symmetry_Int_Tables_number 2
_cell_length_a 6.9436
_cell_length_b 7.1775
_cell_length_c 7.6140
_cell_angle_alpha 72.20
_cell_angle_beta 81.86
_cell_angle_gamma 61.07
loop_
_symmetry_equiv_pos_as_xyz
'x,y,z'
'-x,-y,-z'
loop_
_atom_site_label
_atom_site_fract_x
_atom_site_fract_y
_atom_site_fract_z
In1 0.1675 0.1650 0.0000
I1 0.1561 0.4209 0.2396
Br1 0.1402 0.9340 0.7845
Br2 0.4967 0.7923 0.2158
# formation energy from raw total energies: -0.70 eV/atom
# distance to the lowest polymorph of the same formula: 0.4 meV/atom
# total magnetic moment: 0.000 μB/cell
# V: 316.2 Å³ per cell

***

No. 7
# In4I3Br2 | Alexandria | PBE-GGA | relaxed
data_In4I3Br2
_chemical_formula_sum 'In8 I6 Br4'
_symmetry_space_group_name_H-M 'C 1 2/m 1'
_symmetry_Int_Tables_number 12
_cell_length_a 15.1534
_cell_length_b 4.6056
_cell_length_c 11.0647
_cell_angle_alpha 90.00
_cell_angle_beta 109.13
_cell_angle_gamma 90.00
loop_
_symmetry_equiv_pos_as_xyz
'x,y,z'
'-x,-y,-z'
'-x,y,-z'
'x,-y,z'
'x+1/2,y+1/2,z'
'-x+1/2,-y+1/2,-z'
'-x+1/2,y+1/2,-z'
'x+1/2,-y+1/2,z'
loop_
_atom_site_label
_atom_site_fract_x
_atom_site_fract_y
_atom_site_fract_z
In1 0.1283 0.0000 0.0476
In2 0.1574 0.5000 0.5937
I1 0.0000 0.0000 0.5000
I2 0.1748 0.5000 0.2950
Br1 0.1560 0.5000 0.8682
# formation energy from raw total energies: -0.51 eV/atom
# distance to the lowest polymorph of the same formula: 0.0 meV/atom
# total magnetic moment: 0.000 μB/cell
# V: 729.6 Å³ per cell

***

No. 8
# In3I3Br2 | Alexandria | PBE-GGA | relaxed
data_In3I3Br2
_chemical_formula_sum 'In12 I12 Br8'
_symmetry_space_group_name_H-M 'C m c m'
_symmetry_Int_Tables_number 63
_symmetry_space_group_name_Hall '-C 2c 2'
_cell_length_a 4.1303
_cell_length_b 16.9119
_cell_length_c 20.1355
_cell_angle_alpha 90.00
_cell_angle_beta 90.00
_cell_angle_gamma 90.00
loop_
_atom_site_label
_atom_site_fract_x
_atom_site_fract_y
_atom_site_fract_z
In1 0.0000 0.0281 0.0768
In2 0.0000 0.1253 0.7500
I1 0.0000 0.0391 0.2500
I2 0.0000 0.3334 0.1509
Br1 0.0000 0.3560 0.5705
# formation energy from raw total energies: -0.49 eV/atom
# total magnetic moment: 0.000 μB/cell
# V: 1406.5 Å³ per cell